Entry from the Alexandria database: a geometry-optimized La2Dy3Y6Tm structure (PBE).

a = 6.2164 Å, b = 6.2164 Å, c = 11.8704 Å
α = 95.00°, β = 95.00°, γ = 119.99°
With the nearest neighbours (Å) after each atom.
Atoms (fractional coordinates):
Y 0.5836 0.9154 0.7466  3 Dy 3.55-3.56, 6 Y 3.57-3.60, 1 Tm 3.61, 2 La 3.62
Y 0.4164 0.0846 0.2534  3 Dy 3.55-3.56, 6 Y 3.57-3.60, 1 Tm 3.61, 2 La 3.62
Y 0.2471 0.2471 0.7462  3 Dy 3.54-3.55, 6 Y 3.57-3.60, 1 Tm 3.61, 2 La 3.62
Y 0.9154 0.5836 0.7466  3 Dy 3.55-3.56, 6 Y 3.57-3.60, 1 Tm 3.61, 2 La 3.62
La 0.6663 0.3337 0.0000  3 La 3.58-3.59, 3 Tm 3.59, 6 Y 3.62
Dy 0.5000 0.5000 0.5000  6 Y 3.55, 6 Dy 3.59
Y 0.7529 0.7529 0.2538  3 Dy 3.54-3.55, 6 Y 3.57-3.60, 1 Tm 3.61, 2 La 3.62
Tm 0.0000 0.0000 0.0000  6 La 3.59, 6 Y 3.61
La 0.3337 0.6663 0.0000  3 La 3.58-3.59, 3 Tm 3.59, 6 Y 3.62
Dy 0.1664 0.8336 0.5000  6 Y 3.54-3.56, 6 Dy 3.58-3.59
Dy 0.8336 0.1664 0.5000  6 Y 3.54-3.56, 6 Dy 3.58-3.59
Y 0.0846 0.4164 0.2534  3 Dy 3.55-3.56, 6 Y 3.57-3.60, 1 Tm 3.61, 2 La 3.62

Results
- magnetic moment (μB per formula unit) = 0.00
- space group = No. 12
- D(E_F) (states/eV/cell) = 17.0
- E (eV per atom) = -5.5546
- energy of formation from the pure elements (eV per atom) = 0.02